DFT (GGA-PBEsol) results for crystalline Ta2TlSi at its relaxed geometry.

The structure belongs to space group Imm2 (No. 44); the cell edges are 3.3957, 4.5338 and 9.1200 Å and the angles 90.00°, 90.00° and 90.00°. The inequivalent atoms are Ta at (0.0000, 0.0000, 0.0000), Ta at (0.0000, 0.5000, 0.2453), Tl at (0.0000, 0.5000, 0.7717) and Si at (0.0000, 0.0000, 0.5278).

The total magnetization is 0.00 Bohr magnetons per cell. The calculation puts the total energy at -8.1006 eV/atom. The uncorrected formation energy comes out at 0.269 eV per atom.

DFT (GGA-PBEsol) results for crystalline TaTlSi2 at its relaxed geometry.

The structure belongs to space group Imm2 (No. 44); the cell edges are 3.3283, 4.6776 and 8.7641 Å and the angles 90.00°, 90.00° and 90.00°. The inequivalent atoms are Ta at (0.0000, 0.0000, 0.0000), Tl at (0.0000, 0.5000, 0.7800), Si at (0.0000, 0.0000, 0.5424) and Si at (0.0000, 0.5000, 0.2442).

The total magnetization is 0.00 Bohr magnetons per cell. The calculation puts the total energy at -6.3058 eV/atom. The distance to the lowest polymorph of the same formula comes out at 111.0 meV/atom. The uncorrected formation energy comes out at 0.363 eV per atom.

DFT (GGA-PBEsol) results for crystalline TaTlSi at its relaxed geometry.

The structure belongs to space group Fmm2 (No. 42); the cell edges are 3.6441, 4.5719 and 13.9574 Å and the angles 90.00°, 90.00° and 90.00°. The inequivalent atoms are Ta at (0.0000, 0.0000, 0.0000), Tl at (0.0000, 0.0000, 0.3214) and Si at (0.0000, 0.0000, 0.6314).

The total magnetization is 0.00 Bohr magnetons per cell. The calculation puts the total energy at -6.5657 eV/atom. The uncorrected formation energy comes out at 0.410 eV per atom.

DFT (GGA-PBEsol) results for crystalline TaTlSi2 at its relaxed geometry.

The structure belongs to space group P4mm (No. 99); the cell edges are 3.4657, 3.4657 and 5.7926 Å and the angles 90.00°, 90.00° and 90.00°. The inequivalent atoms are Ta at (0.0000, 0.0000, 0.0000), Tl at (0.5000, 0.5000, 0.3178), Si at (0.0000, 0.0000, 0.5737) and Si at (0.5000, 0.5000, 0.8200).

The total magnetization is 0.00 Bohr magnetons per cell. The calculation puts the total energy at -6.4167 eV/atom. The distance to the lowest polymorph of the same formula comes out at 0.0 meV/atom. The uncorrected formation energy comes out at 0.252 eV per atom.

DFT (GGA-PBEsol) results for crystalline TaTlSi3 at its relaxed geometry.

The structure belongs to space group Pm-3m (No. 221); the cell edges are 4.8951, 4.8951 and 4.8951 Å and the angles 90.00°, 90.00° and 90.00°. The inequivalent atoms are Ta at (0.0000, 0.0000, 0.0000), Tl at (0.5000, 0.5000, 0.5000) and Si at (0.0000, 0.0000, 0.5000).

The total magnetization is 0.00 Bohr magnetons per cell. The calculation puts the total energy at -5.9908 eV/atom. The uncorrected formation energy comes out at 0.493 eV per atom.

DFT (GGA-PBEsol) results for crystalline TaTlSi2 at its relaxed geometry.

The structure belongs to space group Immm (No. 71); the cell edges are 3.5723, 4.6252 and 8.3095 Å and the angles 90.00°, 90.00° and 90.00°. The inequivalent atoms are Ta at (0.0000, 0.0000, 0.0000), Tl at (0.0000, 0.0000, 0.5000) and Si at (0.0000, 0.5000, 0.2572).

The total magnetization is 0.00 Bohr magnetons per cell. The calculation puts the total energy at -6.3149 eV/atom. The distance to the lowest polymorph of the same formula comes out at 101.8 meV/atom. The uncorrected formation energy comes out at 0.354 eV per atom.

DFT (GGA-PBEsol) results for crystalline Ta2V3Si at its relaxed geometry.

The structure belongs to space group P6_3/mmc (No. 194); the cell edges are 4.8731, 4.8731 and 8.3225 Å and the angles 90.00°, 90.00° and 120.00°. The inequivalent atoms are Ta at (0.3333, 0.6667, 0.0621), V at (0.1708, 0.3416, 0.7500) and Si at (0.0000, 0.0000, 0.0000).

The total magnetization is 0.00 Bohr magnetons per cell. The calculation puts the total energy at -10.3304 eV/atom. The uncorrected formation energy comes out at -0.372 eV per atom.

DFT (GGA-PBEsol) results for crystalline TaSi2W at its relaxed geometry.

The structure belongs to space group I-4m2 (No. 119); the cell edges are 3.7765, 3.7765 and 8.1963 Å and the angles 90.00°, 90.00° and 90.00°. The inequivalent atoms are Ta at (0.0000, 0.0000, 0.0000), Si at (0.0000, 0.0000, 0.5000), Si at (0.0000, 0.5000, 0.7500) and W at (0.0000, 0.5000, 0.2500).

The total magnetization is 0.00 Bohr magnetons per cell. The calculation puts the total energy at -9.5511 eV/atom. The distance to the lowest polymorph of the same formula comes out at 0.0 meV/atom. The uncorrected formation energy comes out at -0.088 eV per atom.